A relaxed structure of ReSi2Tc. Source: Alexandria via LeMat-Bulk, functional GGA-PBE.

a b c (Å): 2.776 2.776 7.656
angles (deg): 90.00 90.00 90.00
Element x y z (fractional)
Re 0.000 0.000 0.000
Si 0.000 0.000 0.538
Si 0.500 0.500 0.233
Tc 0.500 0.500 0.766

Results
Electronic total energy ... -33.3 eV/cell
Crystal system ... tetragonal
Formation energy from raw total energies ... 0.09 eV per atom
E above lowest polymorph ... 0.474 eV per atom